Entry from Alexandria via LeMat-Bulk: a relaxed structure of La2SmHo3 (PBE).

Unit cell a=6.5061 b=8.1099 c=8.1099 alpha=71.85 beta=90.00 gamma=90.00
Closest atoms and distances in Å follow each position.
Positions (direct):
La 0.5761 0.7358 0.3940  1 La 3.25, 4 Ho 3.36-3.53
La 0.0761 0.6060 0.2642  1 La 3.25, 4 Ho 3.36-3.53
La 0.5761 0.3940 0.7358  1 La 3.25, 4 Ho 3.36-3.53
La 0.0761 0.2642 0.6060  1 La 3.25, 4 Ho 3.36-3.53
Sm 0.7950 0.8321 0.8321  7 Ho 3.21-3.55
Sm 0.2950 0.1679 0.1679  7 Ho 3.21-3.55
Ho 0.0967 0.8725 0.5091  2 Sm 3.21-3.31, 3 La 3.36-3.53, 1 Ho 3.46
Ho 0.5967 0.4909 0.1275  2 Sm 3.21-3.31, 3 La 3.36-3.53, 1 Ho 3.46
Ho 0.0967 0.5091 0.8725  2 Sm 3.21-3.31, 3 La 3.36-3.53, 1 Ho 3.46
Ho 0.5967 0.1275 0.4909  2 Sm 3.21-3.31, 3 La 3.36-3.53, 1 Ho 3.46
Ho 0.3175 0.9089 0.9089  3 Sm 3.27-3.55, 2 La 3.52, 2 Ho 3.64
Ho 0.8175 0.0911 0.0911  3 Sm 3.27-3.55, 2 La 3.52, 2 Ho 3.64

Summary:
Energy of formation (meV per atom): 195
Offset from the most stable computed form (eV/atom): 0.053
Crystal system: orthorhombic
DFT total energy (eV/atom): -4.5229
Density of states at the Fermi level (states/eV/f.u.): 9.3
SG: Cmc2_1, No. 36

Entry from Alexandria via LeMat-Bulk: a relaxed structure of La15SmHo4 (PBE).

Unit cell a=5.2090 b=5.2090 c=26.0516 alpha=90.00 beta=90.00 gamma=90.00
Closest atoms and distances in Å follow each position.
Positions (direct):
La 0.5000 0.5000 0.0000  4 Sm 3.68, 8 La 3.70
La 0.5000 0.5000 0.2004  8 La 3.68, 4 Ho 3.68
La 0.5000 0.5000 0.4000  8 La 3.68, 4 Ho 3.68
La 0.5000 0.5000 0.6000  8 La 3.68, 4 Ho 3.68
La 0.5000 0.5000 0.7996  8 La 3.68, 4 Ho 3.68
La 0.5000 0.0000 0.1008  8 La 3.68-3.70, 2 Ho 3.68, 2 Sm 3.70
La 0.5000 0.0000 0.3004  4 Ho 3.68, 8 La 3.68
La 0.5000 0.0000 0.5000  4 Ho 3.68, 8 La 3.68
La 0.5000 0.0000 0.6996  4 Ho 3.68, 8 La 3.68
La 0.5000 0.0000 0.8992  8 La 3.68-3.70, 2 Ho 3.68, 2 Sm 3.70
La 0.0000 0.5000 0.1008  8 La 3.68-3.70, 2 Ho 3.68, 2 Sm 3.70
La 0.0000 0.5000 0.3004  4 Ho 3.68, 8 La 3.68
La 0.0000 0.5000 0.5000  4 Ho 3.68, 8 La 3.68
La 0.0000 0.5000 0.6996  4 Ho 3.68, 8 La 3.68
La 0.0000 0.5000 0.8992  8 La 3.68-3.70, 2 Ho 3.68, 2 Sm 3.70
Sm 0.0000 0.0000 0.0000  12 La 3.68-3.70
Ho 0.0000 0.0000 0.2007  12 La 3.68
Ho 0.0000 0.0000 0.4000  12 La 3.68
Ho 0.0000 0.0000 0.6000  12 La 3.68
Ho 0.0000 0.0000 0.7993  12 La 3.68

Summary:
Energy of formation (meV per atom): 8
Crystal system: tetragonal
DFT total energy (eV/atom): -4.8386
Density of states at the Fermi level (states/eV/f.u.): 27.4
SG: P4/mmm, No. 123

Entry from Alexandria via LeMat-Bulk: a relaxed structure of La6Sm3Ho (PBE).

Unit cell a=3.6282 b=17.3160 c=17.6201 alpha=139.88 beta=90.00 gamma=90.00
Closest atoms and distances in Å follow each position.
Positions (direct):
La 0.7500 0.5446 0.6330  7 La 3.59-3.89, 4 Sm 3.86-3.89
La 0.2500 0.4554 0.3670  7 La 3.59-3.89, 4 Sm 3.86-3.89
La 0.7500 0.9525 0.1283  3 Sm 3.54-3.67, 2 Ho 3.59, 7 La 3.63-3.77
La 0.2500 0.0475 0.8717  3 Sm 3.54-3.67, 2 Ho 3.59, 7 La 3.63-3.77
La 0.7500 0.3434 0.1022  4 Sm 3.50-3.73, 8 La 3.63-3.87
La 0.2500 0.6566 0.8978  4 Sm 3.50-3.73, 8 La 3.63-3.87
La 0.7500 0.7578 0.1516  3 Sm 3.52-3.75, 2 Ho 3.59, 7 La 3.63-3.79
La 0.2500 0.2422 0.8484  3 Sm 3.52-3.75, 2 Ho 3.59, 7 La 3.63-3.79
La 0.7500 0.1425 0.6008  3 Sm 3.52-3.63, 3 Ho 3.59-3.66, 6 La 3.63-3.71
La 0.2500 0.8575 0.3992  3 Sm 3.52-3.63, 3 Ho 3.59-3.66, 6 La 3.63-3.71
La 0.7500 0.7557 0.6376  1 Ho 3.57, 3 Sm 3.58-3.71, 7 La 3.59-3.89
La 0.2500 0.2443 0.3624  1 Ho 3.57, 3 Sm 3.58-3.71, 7 La 3.59-3.89
Sm 0.7500 0.4511 0.8746  6 La 3.52-3.75, 6 Sm 3.61-3.77
Sm 0.2500 0.5489 0.1254  6 La 3.52-3.75, 6 Sm 3.61-3.77
Sm 0.7500 0.6529 0.3681  6 La 3.50-3.86, 1 Ho 3.55, 4 Sm 3.61-3.63
Sm 0.2500 0.3471 0.6319  6 La 3.50-3.86, 1 Ho 3.55, 4 Sm 3.61-3.63
Sm 0.7500 0.1481 0.1170  8 La 3.54-3.89, 4 Sm 3.63-3.78
Sm 0.2500 0.8519 0.8830  8 La 3.54-3.89, 4 Sm 3.63-3.78
Ho 0.7500 0.9651 0.6422  1 Sm 3.55, 8 La 3.57-3.66, 2 Ho 3.63
Ho 0.2500 0.0349 0.3578  1 Sm 3.55, 8 La 3.57-3.66, 2 Ho 3.63

Summary:
Energy of formation (meV per atom): 61
Offset from the most stable computed form (eV/atom): 0.000
Crystal system: monoclinic
DFT total energy (eV/atom): -4.7688
Density of states at the Fermi level (states/eV/f.u.): 15.9
SG: P2_1/m, No. 11

Entry from Alexandria via LeMat-Bulk: a relaxed structure of LaSm6Ho (PBE).

Unit cell a=5.8961 b=5.8961 c=9.1101 alpha=78.80 beta=78.80 gamma=74.62
Closest atoms and distances in Å follow each position.
Positions (direct):
La 0.0000 0.0000 0.0000  6 Sm 3.39-3.56
Sm 0.4852 0.9583 0.6973  4 Sm 3.35-3.75, 2 Ho 3.36-3.50, 1 La 3.56
Sm 0.9583 0.4852 0.6973  4 Sm 3.35-3.75, 2 Ho 3.36-3.50, 1 La 3.56
Sm 0.0417 0.5148 0.3027  4 Sm 3.35-3.75, 2 Ho 3.36-3.50, 1 La 3.56
Sm 0.5148 0.0417 0.3027  4 Sm 3.35-3.75, 2 Ho 3.36-3.50, 1 La 3.56
Sm 0.6276 0.6276 0.0760  3 Sm 3.04-3.35, 1 La 3.39
Sm 0.3724 0.3724 0.9240  3 Sm 3.04-3.35, 1 La 3.39
Ho 0.5000 0.5000 0.5000  10 Sm 3.36-3.75

Summary:
Energy of formation (meV per atom): 366
Offset from the most stable computed form (eV/atom): 0.344
Crystal system: monoclinic
DFT total energy (eV/atom): -4.3613
Density of states at the Fermi level (states/eV/f.u.): 14.5
SG: C2/m, No. 12

Entry from Alexandria via LeMat-Bulk: a relaxed structure of La2SmHo (PBE).

Unit cell a=3.7095 b=6.2660 c=6.2660 alpha=107.86 beta=90.00 gamma=90.00
Closest atoms and distances in Å follow each position.
Positions (direct):
La 0.0000 0.5000 0.0000  4 Sm 3.64, 4 Ho 3.64, 4 La 3.69-3.71
La 0.0000 0.0000 0.5000  4 Ho 3.64, 4 Sm 3.64, 4 La 3.69-3.71
Sm 0.5000 0.5000 0.5000  8 La 3.64, 2 Ho 3.69, 2 Sm 3.71
Ho 0.5000 0.0000 0.0000  8 La 3.64, 2 Sm 3.69, 2 Ho 3.71

Summary:
Energy of formation (meV per atom): 22
Offset from the most stable computed form (eV/atom): 0.010
Crystal system: orthorhombic
DFT total energy (eV/atom): -4.7656
Density of states at the Fermi level (states/eV/f.u.): 6.8
SG: Cmmm, No. 65

Entry from Alexandria via LeMat-Bulk: a relaxed structure of La3Sm4Ho2 (PBE).

Unit cell a=3.6508 b=6.3434 c=15.4188 alpha=65.60 beta=90.00 gamma=106.72
Closest atoms and distances in Å follow each position.
Positions (direct):
La 0.3333 0.6666 0.5572  2 Ho 3.63, 5 Sm 3.64-3.69, 5 La 3.65-3.69
La 0.0000 0.0000 0.0000  4 Ho 3.61, 6 Sm 3.64-3.67, 2 La 3.65
La 0.6667 0.3334 0.4428  2 Ho 3.63, 5 Sm 3.64-3.69, 5 La 3.65-3.69
Sm 0.6682 0.3363 0.1113  6 Sm 3.60-3.65, 3 Ho 3.62-3.67, 3 La 3.64-3.67
Sm 0.0013 0.0026 0.6702  4 Sm 3.60-3.65, 3 Ho 3.62-3.67, 5 La 3.64-3.69
Sm 0.9987 0.9974 0.3298  4 Sm 3.60-3.65, 3 Ho 3.62-3.67, 5 La 3.64-3.69
Sm 0.3318 0.6637 0.8887  6 Sm 3.60-3.65, 3 Ho 3.62-3.67, 3 La 3.64-3.67
Ho 0.3334 0.6667 0.2205  4 La 3.61-3.63, 6 Sm 3.62-3.67, 2 Ho 3.65
Ho 0.6666 0.3333 0.7795  4 La 3.61-3.63, 6 Sm 3.62-3.67, 2 Ho 3.65

Summary:
Energy of formation (meV per atom): 23
Crystal system: monoclinic
DFT total energy (eV/atom): -4.7342
Density of states at the Fermi level (states/eV/f.u.): 14.0
SG: C2/m, No. 12

Question: The lowest DFT total energy belongs to which entry?
Answer: La15SmHo4

Question: Look up the DFT total energy of the fourth one.
Answer: -4.3613 eV/atom

Repeat the second record exactly.
Entry from Alexandria via LeMat-Bulk: a relaxed structure of La15SmHo4 (PBE).

Unit cell a=5.2090 b=5.2090 c=26.0516 alpha=90.00 beta=90.00 gamma=90.00
Closest atoms and distances in Å follow each position.
Positions (direct):
La 0.5000 0.5000 0.0000  4 Sm 3.68, 8 La 3.70
La 0.5000 0.5000 0.2004  8 La 3.68, 4 Ho 3.68
La 0.5000 0.5000 0.4000  8 La 3.68, 4 Ho 3.68
La 0.5000 0.5000 0.6000  8 La 3.68, 4 Ho 3.68
La 0.5000 0.5000 0.7996  8 La 3.68, 4 Ho 3.68
La 0.5000 0.0000 0.1008  8 La 3.68-3.70, 2 Ho 3.68, 2 Sm 3.70
La 0.5000 0.0000 0.3004  4 Ho 3.68, 8 La 3.68
La 0.5000 0.0000 0.5000  4 Ho 3.68, 8 La 3.68
La 0.5000 0.0000 0.6996  4 Ho 3.68, 8 La 3.68
La 0.5000 0.0000 0.8992  8 La 3.68-3.70, 2 Ho 3.68, 2 Sm 3.70
La 0.0000 0.5000 0.1008  8 La 3.68-3.70, 2 Ho 3.68, 2 Sm 3.70
La 0.0000 0.5000 0.3004  4 Ho 3.68, 8 La 3.68
La 0.0000 0.5000 0.5000  4 Ho 3.68, 8 La 3.68
La 0.0000 0.5000 0.6996  4 Ho 3.68, 8 La 3.68
La 0.0000 0.5000 0.8992  8 La 3.68-3.70, 2 Ho 3.68, 2 Sm 3.70
Sm 0.0000 0.0000 0.0000  12 La 3.68-3.70
Ho 0.0000 0.0000 0.2007  12 La 3.68
Ho 0.0000 0.0000 0.4000  12 La 3.68
Ho 0.0000 0.0000 0.6000  12 La 3.68
Ho 0.0000 0.0000 0.7993  12 La 3.68

Summary:
Energy of formation (meV per atom): 8
Crystal system: tetragonal
DFT total energy (eV/atom): -4.8386
Density of states at the Fermi level (states/eV/f.u.): 27.4
SG: P4/mmm, No. 123